# LaTbAs2Pt2, relaxed, DFT PBE
# Size of the total moment = 0.0 μB/f.u.
# Volume = 127.7 Å³/f.u.
# Final energy = -0.47477 Ry/atom
data_LaTbAs2Pt2
_symmetry_space_group_name_H-M 'P 63/m m c'
_symmetry_Int_Tables_number 194
_symmetry_space_group_name_Hall '-P 6c 2c'
_cell_length_a 4.3462
_cell_length_b 4.3462
_cell_length_c 15.6158
_cell_angle_alpha 90.00
_cell_angle_beta 90.00
_cell_angle_gamma 120.00
loop_
_atom_site_label
_atom_site_type_symbol
_atom_site_fract_x
_atom_site_fract_y
_atom_site_fract_z
La1 La 0.0000 0.0000 0.0000
Tb1 Tb 0.0000 0.0000 0.2500
As1 As 0.3333 0.6667 0.1215
Pt1 Pt 0.3333 0.6667 0.6424

# LaPuAs, relaxed, DFT PBE
# Size of the total moment = 7.9 μB/f.u.
# Volume = 91.3 Å³/f.u.
# Final energy = -0.58520 Ry/atom
data_LaPuAs
_symmetry_space_group_name_H-M 'F -4 3 m'
_symmetry_Int_Tables_number 216
_symmetry_space_group_name_Hall 'F -4 2 3'
_cell_length_a 7.148
_cell_length_b 7.148
_cell_length_c 7.148
_cell_angle_alpha 90.00
_cell_angle_beta 90.00
_cell_angle_gamma 90.00
loop_
_atom_site_label
_atom_site_type_symbol
_atom_site_fract_x
_atom_site_fract_y
_atom_site_fract_z
La1 La 0.000 0.000 0.000
Pu1 Pu 0.250 0.250 0.250
As1 As 0.250 0.250 0.750

# LaPuAs, relaxed, DFT PBE
# Size of the total moment = 6.8 μB/f.u.
# Volume = 87.1 Å³/f.u.
# Final energy = -0.62938 Ry/atom
data_LaPuAs
_symmetry_space_group_name_H-M 'F -4 3 m'
_symmetry_Int_Tables_number 216
_symmetry_space_group_name_Hall 'F -4 2 3'
_cell_length_a 7.038
_cell_length_b 7.038
_cell_length_c 7.038
_cell_angle_alpha 90.00
_cell_angle_beta 90.00
_cell_angle_gamma 90.00
loop_
_atom_site_label
_atom_site_type_symbol
_atom_site_fract_x
_atom_site_fract_y
_atom_site_fract_z
La1 La 0.000 0.000 0.000
Pu1 Pu 0.000 0.000 0.500
As1 As 0.250 0.250 0.250

# La2SmAs3, relaxed, DFT PBE
# Size of the total moment = 0.0 μB/f.u.
# Volume = 170.8 Å³/f.u.
# Final energy = -0.46374 Ry/atom
data_La2SmAs3
_symmetry_space_group_name_H-M 'P -3 m 1'
_symmetry_Int_Tables_number 164
_symmetry_space_group_name_Hall '-P 3 2"'
_cell_length_a 4.3181
_cell_length_b 4.3181
_cell_length_c 10.5795
_cell_angle_alpha 90.00
_cell_angle_beta 90.00
_cell_angle_gamma 120.00
loop_
_atom_site_label
_atom_site_type_symbol
_atom_site_fract_x
_atom_site_fract_y
_atom_site_fract_z
La1 La 0.3333 0.6667 0.3295
Sm1 Sm 0.0000 0.0000 0.0000
As1 As 0.0000 0.0000 0.5000
As2 As 0.3333 0.6667 0.8396